(1)
First-principles (PBEsol) data for a relaxed LiMnH6O7 crystal, as listed in Alexandria via LeMat-Bulk.

## Properties
Density of states at the Fermi level, states/eV/atom: 0.0000
Final energy, eV per atom: -5.763

a b c (Å): 5.4012 7.5462 7.5462
angles (deg): 120.00 90.00 90.00
Last column: nearest neighbours and their distance in Å.
Atoms (fractional coordinates):
O 0.5307 0.2469 0.1234  2 H 0.99
O 0.0937 0.5501 0.4499  1 Mn 1.61
O 0.5937 0.1002 0.5501  1 Mn 1.61
O 0.0937 0.8998 0.4499  1 Mn 1.61
O 0.0307 0.7531 0.8766  2 H 0.99
O 0.5307 0.8766 0.7531  2 H 0.99
O 0.7021 0.6667 0.3333  1 Mn 1.59
O 0.0307 0.1234 0.8766  2 H 0.99
O 0.5937 0.4499 0.8998  1 Mn 1.61
O 0.5937 0.4499 0.5501  1 Mn 1.61
O 0.0307 0.1234 0.2469  2 H 0.99
O 0.0937 0.5501 0.1002  1 Mn 1.61
O 0.5307 0.8766 0.1234  2 H 0.99
O 0.2021 0.3333 0.6667  1 Mn 1.59
H 0.0440 0.2733 0.3374  1 O 0.99
H 0.5440 0.3374 0.2733  1 O 0.99
H 0.5440 0.7267 0.6626  1 O 0.99
H 0.0440 0.0641 0.3374  1 O 0.99
H 0.5440 0.9359 0.6626  1 O 0.99
H 0.0440 0.2733 0.9359  1 O 0.99
H 0.0440 0.6626 0.7267  1 O 0.99
H 0.5440 0.3374 0.0641  1 O 0.99
H 0.0440 0.0641 0.7267  1 O 0.99
H 0.5440 0.7267 0.0641  1 O 0.99
H 0.0440 0.6626 0.9359  1 O 0.99
H 0.5440 0.9359 0.2733  1 O 0.99
Mn 0.9971 0.6667 0.3333  4 O 1.59-1.61
Mn 0.4971 0.3333 0.6667  4 O 1.59-1.61
Li 0.7820 0.0000 0.0000  6 O 2.10-2.11
Li 0.2820 0.0000 0.0000  6 O 2.10-2.11

(2)
First-principles (PBEsol) data for a relaxed Li2MnPHO5 crystal, as listed in Alexandria via LeMat-Bulk.

## Properties
Density of states at the Fermi level, states/eV/atom: 0.0000
Final energy, eV per atom: -6.827

a b c (Å): 5.0374 5.7723 7.5344
angles (deg): 105.87 108.47 95.81
Last column: nearest neighbours and their distance in Å.
Atoms (fractional coordinates):
O 0.9107 0.3737 0.1384  1 P 1.55
O 0.1766 0.9423 0.2723  1 H 0.99
O 0.6121 0.5975 0.3202  1 P 1.56
O 0.3061 0.7970 0.6083  1 P 1.56
O 0.7120 0.1967 0.3555  1 P 1.58
O 0.3813 0.2051 0.0233  1 P 1.52
O 0.0575 0.6212 0.8010  1 P 1.55
O 0.6030 0.7592 0.9431  1 P 1.55
O 0.3863 0.3911 0.6462  1 P 1.57
O 0.8389 0.0799 0.7231  1 H 0.99
Li 0.7065 0.4973 0.5616  4 O 1.98-2.01
Li 0.2251 0.6368 0.3240  4 O 1.93-1.99
Li 0.8080 0.4072 0.8763  3 O 1.95-1.99
Li 0.5580 0.8421 0.1896  3 O 1.88-2.00, 1 H 2.06
H 0.6405 0.9815 0.6579  1 O 0.99
H 0.3528 0.0733 0.3345  1 O 0.99
Mn 0.0713 0.0722 0.5445  5 O 2.04-2.24
Mn 0.9963 0.0002 0.9916  5 O 2.07-2.29
P 0.3336 0.6461 0.7532  4 O 1.55-1.57
P 0.6495 0.3423 0.2024  4 O 1.52-1.58

(3)
First-principles (PBEsol) data for a relaxed LiMnPHO5 crystal, as listed in Alexandria via LeMat-Bulk.

## Properties
Density of states at the Fermi level, states/eV/atom: 0.0097
Final energy, eV per atom: -7.165

a b c (Å): 5.1013 5.4715 7.0585
angles (deg): 105.83 107.74 102.04
Last column: nearest neighbours and their distance in Å.
Atoms (fractional coordinates):
H 0.6324 0.9149 0.6530  1 O 1.02
H 0.3676 0.0851 0.3470  1 O 1.02
O 0.6876 0.6719 0.3409  1 P 1.56
O 0.3542 0.2531 0.0631  1 P 1.56
O 0.3124 0.3281 0.6591  1 P 1.56
O 0.1184 0.6411 0.8791  1 P 1.53
O 0.2947 0.7718 0.6063  1 P 1.53, 1 H 1.62
O 0.7053 0.2282 0.3937  1 P 1.53, 1 H 1.62
O 0.8816 0.3589 0.1209  1 P 1.53
O 0.1554 0.9652 0.2769  1 H 1.02
O 0.6458 0.7469 0.9369  1 P 1.56
O 0.8446 0.0348 0.7231  1 H 1.02
Mn 0.0000 0.0000 0.0000  4 O 1.87-1.95
Mn 0.0000 0.0000 0.5000  4 O 1.91-1.95
P 0.3296 0.6251 0.7647  4 O 1.53-1.56
P 0.6704 0.3749 0.2353  4 O 1.53-1.56
Li 0.2502 0.6187 0.1804  5 O 1.95-2.18
Li 0.7498 0.3813 0.8196  5 O 1.95-2.18

(4)
First-principles (PBEsol) data for a relaxed LiMnP2H2O8 crystal, as listed in Alexandria via LeMat-Bulk.

## Properties
Energy above the most stable polymorph in this dataset, meV per atom: 0
Final energy, eV per atom: -7.050

a b c (Å): 5.2089 6.8508 7.8407
angles (deg): 90.00 90.00 90.00
Last column: nearest neighbours and their distance in Å.
Atoms (fractional coordinates):
O 0.4893 0.1921 0.4658  1 P 1.54
O 0.2750 0.0772 0.7791  1 H 1.44, 1 P 1.54
O 0.9820 0.1992 0.4579  1 P 1.54
O 0.4893 0.8079 0.5342  1 P 1.54
O 0.7240 0.0516 0.2144  1 H 1.07
O 0.0180 0.3008 0.9579  1 P 1.54
O 0.7250 0.4228 0.2791  1 H 1.44, 1 P 1.54
O 0.5107 0.6921 0.0342  1 P 1.54
O 0.2760 0.4484 0.7144  1 H 1.07
O 0.2750 0.9228 0.2209  1 H 1.44, 1 P 1.54
O 0.5107 0.3079 0.9658  1 P 1.54
O 0.2760 0.5516 0.2856  1 H 1.07
O 0.7240 0.9484 0.7856  1 H 1.07
O 0.0180 0.6992 0.0421  1 P 1.54
O 0.7250 0.5772 0.7209  1 H 1.44, 1 P 1.54
O 0.9820 0.8008 0.5421  1 P 1.54
Li 0.9170 0.0000 0.0000  4 O 1.99-2.15
Li 0.0830 0.5000 0.5000  4 O 1.99-2.15
Mn 0.7659 0.5000 0.0000  4 O 1.89-1.92
Mn 0.2341 0.0000 0.5000  4 O 1.89-1.92
P 0.2695 0.2850 0.8548  4 O 1.54-1.57
P 0.7305 0.7850 0.6452  4 O 1.54-1.57
P 0.2695 0.7150 0.1452  4 O 1.54-1.57
P 0.7305 0.2150 0.3548  4 O 1.54-1.57
H 0.5337 0.9940 0.2075  1 O 1.07
H 0.4663 0.5060 0.7075  1 O 1.07
H 0.5337 0.0060 0.7925  1 O 1.07
H 0.4663 0.4940 0.2925  1 O 1.07

(5)
First-principles (PBEsol) data for a relaxed Li4Mn2P4H3O16 crystal, as listed in Alexandria via LeMat-Bulk.

## Properties
Density of states at the Fermi level, states/eV/atom: 0.1321
Final energy, eV per atom: -6.986

a b c (Å): 4.8866 7.5917 8.0462
angles (deg): 91.03 91.40 101.56
Last column: nearest neighbours and their distance in Å.
Atoms (fractional coordinates):
Li 0.1468 0.6783 0.6629  4 O 1.88-1.97
Li 0.6300 0.1677 0.8771  4 O 1.94-1.98
Li 0.8607 0.3116 0.3433  4 O 1.95-2.17
Li 0.3640 0.8447 0.1294  4 O 1.93-2.00
O 0.9805 0.7036 0.1691  1 P 1.53
O 0.6368 0.3151 0.0776  1 P 1.54
O 0.0751 0.8015 0.4706  1 P 1.51
O 0.0130 0.3025 0.8353  1 P 1.53
O 0.5340 0.8130 0.6735  1 P 1.55
O 0.6752 0.5442 0.3884  1 H 1.01
O 0.9045 0.1760 0.5419  1 P 1.52
O 0.4538 0.1806 0.3457  1 P 1.56
O 0.2254 0.0574 0.0714  1 H 1.36
O 0.3607 0.1472 0.6896  1 P 1.54
O 0.4017 0.6755 0.9517  1 P 1.53
O 0.7693 0.9531 0.9340  1 H 1.08
O 0.6390 0.8620 0.3167  1 P 1.54
O 0.1881 0.3739 0.1933  1 P 1.57
O 0.2695 0.4545 0.6026  1 H 1.00
O 0.8606 0.6474 0.8242  1 P 1.54
Mn 0.4994 0.9983 0.5080  5 O 1.96-2.17
Mn 0.0109 0.5022 0.0051  6 O 2.02-2.18
H 0.9727 0.9942 0.9955  1 O 1.08
H 0.4508 0.4734 0.5445  1 O 1.00
H 0.5058 0.5090 0.3119  1 O 1.01
P 0.3701 0.2284 0.1668  4 O 1.53-1.57
P 0.1322 0.2590 0.6686  4 O 1.52-1.61
P 0.6433 0.7667 0.8461  4 O 1.53-1.57
P 0.8550 0.7408 0.3356  4 O 1.51-1.64

(6)
First-principles (PBEsol) data for a relaxed LiMnP2HO7 crystal, as listed in Alexandria via LeMat-Bulk.

## Properties
Density of states at the Fermi level, states/eV/atom: 0.0000
Final energy, eV per atom: -7.250

a b c (Å): 6.3770 6.5611 7.5690
angles (deg): 105.96 87.43 111.05
Last column: nearest neighbours and their distance in Å.
Atoms (fractional coordinates):
O 0.3303 0.5697 0.4629  1 P 1.50
O 0.3124 0.1591 0.8076  1 H 1.11
O 0.8924 0.2424 0.3092  1 H 1.30
O 0.1076 0.7576 0.6908  1 H 1.30
O 0.6876 0.8409 0.1924  1 H 1.11
O 0.8805 0.6170 0.3012  2 P 1.60-1.61
O 0.4622 0.7465 0.8069  1 P 1.54
O 0.7939 0.5504 0.9582  1 P 1.52
O 0.1195 0.3830 0.6988  2 P 1.60-1.61
O 0.5378 0.2535 0.1931  1 P 1.54
O 0.6697 0.4303 0.5371  1 P 1.50
O 0.2061 0.4496 0.0418  1 P 1.52
O 0.1052 0.9114 0.1523  1 P 1.52
O 0.8948 0.0886 0.8477  1 P 1.52
P 0.1284 0.2687 0.8578  4 O 1.52-1.60
P 0.2664 0.6220 0.6593  4 O 1.50-1.61
P 0.8716 0.7313 0.1422  4 O 1.52-1.60
P 0.7336 0.3780 0.3407  4 O 1.50-1.61
H 0.7737 0.0257 0.2535  1 O 1.11
H 0.2263 0.9743 0.7465  1 O 1.11
Mn 0.7745 0.7136 0.7544  5 O 2.03-2.21
Mn 0.2255 0.2864 0.2456  5 O 2.03-2.21
Li 0.6262 0.2200 0.9171  4 O 1.98-2.16
Li 0.3738 0.7800 0.0829  4 O 1.98-2.16